No. 1
## LaNb2ReAs (PBE)

Data for an optimized crystal structure of LaNb2ReAs.

Lattice parameters (Å, degrees): 4.8409 4.8409 5.1517 90.00 90.00 90.00
With the nearest neighbours (Å) after each atom.
Atoms (fractional coordinates):
La 0.0000 0.0000 0.0000  4 Nb 2.42, 2 As 2.58
Nb 0.0000 0.5000 0.0000  2 La 2.42
Nb 0.5000 0.0000 0.0000  2 La 2.42
Re 0.5000 0.5000 0.5000  4 As 3.42, 8 Nb 3.53
As 0.0000 0.0000 0.5000  2 La 2.58

* E_tot: -29.5 eV per formula unit
* total magnetic moment: 0.07 μB/f.u.

No. 2
## BeIr2 (PBE)

Data for an optimized crystal structure of BeIr2.

Lattice parameters (Å, degrees): 2.7491 12.8799 4.3304 90.00 90.00 90.00
With the nearest neighbours (Å) after each atom.
Atoms (fractional coordinates):
Be 0.0000 0.2246 0.2500  6 Ir 2.38-2.52, 4 Be 2.65
Be 0.0000 0.7754 0.7500  6 Ir 2.38-2.52, 4 Be 2.65
Be 0.5000 0.2754 0.7500  6 Ir 2.38-2.52, 4 Be 2.65
Be 0.5000 0.7246 0.2500  6 Ir 2.38-2.52, 4 Be 2.65
Ir 0.0000 0.1249 0.7500  4 Be 2.38-2.52, 4 Ir 2.66
Ir 0.0000 0.4300 0.7500  2 Be 2.42, 4 Ir 2.66
Ir 0.0000 0.5700 0.2500  2 Be 2.42, 4 Ir 2.66
Ir 0.0000 0.8751 0.2500  4 Be 2.38-2.52, 4 Ir 2.66
Ir 0.5000 0.0700 0.2500  2 Be 2.42, 4 Ir 2.66
Ir 0.5000 0.3751 0.2500  4 Be 2.38-2.52, 4 Ir 2.66
Ir 0.5000 0.6249 0.7500  4 Be 2.38-2.52, 4 Ir 2.66
Ir 0.5000 0.9300 0.7500  2 Be 2.42, 4 Ir 2.66

* E_tot: -22.0 eV per formula unit
* total magnetic moment: 0.00 μB/f.u.

No. 3
## Na2BeSnPt (PBE)

Data for an optimized crystal structure of Na2BeSnPt.

Lattice parameters (Å, degrees): 5.3882 5.3882 5.0550 90.00 90.00 90.00
With the nearest neighbours (Å) after each atom.
Atoms (fractional coordinates):
Na 0.0000 0.5000 0.0000  2 Pt 2.69
Na 0.5000 0.0000 0.0000  2 Pt 2.69
Be 0.0000 0.0000 0.5000  8 Na 3.69, 4 Sn 3.81
Sn 0.5000 0.5000 0.5000  2 Pt 2.53
Pt 0.5000 0.5000 0.0000  2 Sn 2.53, 4 Na 2.69

* E_tot: -14.1 eV per formula unit
* total magnetic moment: 0.00 μB/f.u.

No. 4
## Pm5Y2Tm4 (PBE)

Data for an optimized crystal structure of Pm5Y2Tm4.

Lattice parameters (Å, degrees): 6.6418 6.6418 9.2519 104.02 104.02 66.61
With the nearest neighbours (Å) after each atom.
Atoms (fractional coordinates):
Pm 0.0000 0.0000 0.0000  4 Pm 3.12, 2 Tm 3.36
Pm 0.2131 0.6512 0.7338  2 Pm 3.12-3.20, 1 Y 3.44, 2 Tm 3.45-3.48
Pm 0.3488 0.7869 0.2662  2 Pm 3.12-3.20, 1 Y 3.44, 2 Tm 3.45-3.48
Pm 0.6512 0.2131 0.7338  2 Pm 3.12-3.20, 1 Y 3.44, 2 Tm 3.45-3.48
Pm 0.7869 0.3488 0.2662  2 Pm 3.12-3.20, 1 Y 3.44, 2 Tm 3.45-3.48
Y 0.1455 0.1455 0.6201  1 Y 3.35, 6 Pm 3.44-3.75, 4 Tm 3.46-3.65
Y 0.8545 0.8545 0.3799  1 Y 3.35, 6 Pm 3.44-3.75, 4 Tm 3.46-3.65
Tm 0.3032 0.3032 0.0036  5 Pm 3.36-3.60, 1 Tm 3.44, 1 Y 3.47
Tm 0.3376 0.3376 0.3852  2 Tm 3.44-3.62, 6 Pm 3.45-3.53, 3 Y 3.46-3.65
Tm 0.6624 0.6624 0.6148  2 Tm 3.44-3.62, 6 Pm 3.45-3.53, 3 Y 3.46-3.65
Tm 0.6968 0.6968 0.9964  5 Pm 3.36-3.60, 1 Tm 3.44, 1 Y 3.47

* E_tot: -53.1 eV per formula unit
* total magnetic moment: 0.00 μB/f.u.

No. 5
## TlAs2Ir (PBE)

Data for an optimized crystal structure of TlAs2Ir.

Lattice parameters (Å, degrees): 7.9543 3.6822 6.7465 90.00 105.08 90.00
With the nearest neighbours (Å) after each atom.
Atoms (fractional coordinates):
Tl 0.0000 0.0000 0.0000  6 As 3.11-3.32
Tl 0.5000 0.5000 0.0000  6 As 3.11-3.32
As 0.2198 0.0000 0.6805  2 Ir 2.42
As 0.3790 0.0000 0.3477  3 Ir 2.42-2.54
As 0.7198 0.5000 0.6805  2 Ir 2.42
As 0.8790 0.5000 0.3477  3 Ir 2.42-2.54
Ir 0.1944 0.5000 0.4419  5 As 2.42-2.54
Ir 0.6944 0.0000 0.4419  5 As 2.42-2.54

* E_tot: -20.4 eV per formula unit
* total magnetic moment: 0.00 μB/f.u.

No. 6
## PaI2F (PBE)

Data for an optimized crystal structure of PaI2F.

Lattice parameters (Å, degrees): 7.2791 4.2015 8.9177 90.00 104.97 90.00
With the nearest neighbours (Å) after each atom.
Atoms (fractional coordinates):
Pa 0.0000 0.0000 0.0000  3 F 2.43
Pa 0.5000 0.5000 0.0000  3 F 2.43
I 0.2505 0.0000 0.7379  3 Pa 3.31-3.32, 3 F 3.31-3.32
I 0.4165 0.0000 0.2622  3 F 3.31, 3 Pa 3.31-3.32
I 0.7505 0.5000 0.7379  3 Pa 3.31-3.32, 3 F 3.31-3.32
I 0.9165 0.5000 0.2622  3 F 3.31, 3 Pa 3.31-3.32
F 0.1667 0.5000 0.0001  3 Pa 2.43
F 0.6667 0.0000 0.0001  3 Pa 2.43

* E_tot: -21.5 eV per formula unit
* total magnetic moment: 2.00 μB/f.u.

No. 7
## NiPb2Br (PBE)

Data for an optimized crystal structure of NiPb2Br.

Lattice parameters (Å, degrees): 4.2220 4.2220 11.9102 90.00 90.00 90.00
With the nearest neighbours (Å) after each atom.
Atoms (fractional coordinates):
Ni 0.0000 0.0000 0.0000  4 Pb 2.99
Ni 0.5000 0.5000 0.5000  4 Pb 2.99
Pb 0.0000 0.0000 0.5000  4 Ni 2.99
Pb 0.0000 0.5000 0.7500  4 Br 2.99
Pb 0.5000 0.0000 0.2500  4 Br 2.99
Pb 0.5000 0.5000 0.0000  4 Ni 2.99
Br 0.0000 0.5000 0.2500  4 Pb 2.99
Br 0.5000 0.0000 0.7500  4 Pb 2.99

* E_tot: -13.6 eV per formula unit
* total magnetic moment: 0.00 μB/f.u.

No. 8
## Tb5PrTm2 (PBE)

Data for an optimized crystal structure of Tb5PrTm2.

Lattice parameters (Å, degrees): 7.9704 8.4755 8.5188 114.88 93.06 91.46
With the nearest neighbours (Å) after each atom.
Atoms (fractional coordinates):
Tb 0.0440 0.0991 0.3935  3 Tb 3.04-3.29, 1 Pr 3.41
Tb 0.0906 0.5780 0.6895  4 Tb 3.17-3.52, 3 Tm 3.27-3.52, 1 Pr 3.54
Tb 0.2508 0.6872 0.3106  4 Tm 3.44-3.77, 7 Tb 3.46-3.82
Tb 0.3888 0.0707 0.6764  2 Tm 3.30-3.64, 7 Tb 3.36-3.64, 1 Pr 3.57
Tb 0.3936 0.3198 0.4252  4 Tb 3.17-3.54, 1 Tm 3.34, 1 Pr 3.53
Tb 0.6064 0.6802 0.5748  4 Tb 3.17-3.54, 1 Tm 3.34, 1 Pr 3.53
Tb 0.6112 0.9293 0.3236  2 Tm 3.30-3.64, 7 Tb 3.36-3.64, 1 Pr 3.57
Tb 0.7492 0.3128 0.6894  4 Tm 3.44-3.77, 7 Tb 3.46-3.82
Tb 0.9094 0.4220 0.3105  4 Tb 3.17-3.52, 3 Tm 3.27-3.52, 1 Pr 3.54
Tb 0.9560 0.9009 0.6065  3 Tb 3.04-3.29, 1 Pr 3.41
Pr 0.2490 0.9795 0.0228  2 Tm 3.39-3.54, 4 Tb 3.41-3.57
Pr 0.7510 0.0205 0.9772  2 Tm 3.39-3.54, 4 Tb 3.41-3.57
Tm 0.1167 0.3282 0.9296  6 Tb 3.30-3.65, 3 Tm 3.31-3.63, 1 Pr 3.54
Tm 0.4550 0.6052 0.8965  1 Tm 3.06, 2 Tb 3.27-3.34, 1 Pr 3.39
Tm 0.5450 0.3948 0.1035  1 Tm 3.06, 2 Tb 3.27-3.34, 1 Pr 3.39
Tm 0.8833 0.6718 0.0704  6 Tb 3.30-3.65, 3 Tm 3.31-3.63, 1 Pr 3.54

* E_tot: -35.6 eV per formula unit
* total magnetic moment: 0.00 μB/f.u.

No. 9
## Ce4ThIn (PBE)

Data for an optimized crystal structure of Ce4ThIn.

Lattice parameters (Å, degrees): 5.3345 6.7548 9.0479 90.00 90.00 90.00
With the nearest neighbours (Å) after each atom.
Atoms (fractional coordinates):
Ce 0.0000 0.2438 0.1601  3 Ce 2.90-3.13
Ce 0.0000 0.2438 0.8399  3 Ce 2.90-3.13
Ce 0.0000 0.7562 0.1601  3 Ce 2.90-3.13
Ce 0.0000 0.7562 0.8399  3 Ce 2.90-3.13
Ce 0.5000 0.2562 0.3399  3 Ce 2.90-3.13
Ce 0.5000 0.2562 0.6601  3 Ce 2.90-3.13
Ce 0.5000 0.7438 0.3399  3 Ce 2.90-3.13
Ce 0.5000 0.7438 0.6601  3 Ce 2.90-3.13
Th 0.0000 0.0000 0.5000  2 In 3.38, 12 Ce 3.49
Th 0.5000 0.5000 0.0000  2 In 3.38, 12 Ce 3.49
In 0.0000 0.5000 0.5000  2 Th 3.38, 12 Ce 3.45-3.53
In 0.5000 0.0000 0.0000  2 Th 3.38, 12 Ce 3.45-3.53

* E_tot: -34.4 eV per formula unit
* total magnetic moment: 1.97 μB/f.u.

No. 10
## ScTlPd3 (PBE)

Data for an optimized crystal structure of ScTlPd3.

Lattice parameters (Å, degrees): 4.8562 4.8562 4.8562 90.00 90.00 90.00
With the nearest neighbours (Å) after each atom.
Atoms (fractional coordinates):
Sc 0.0000 0.0000 0.0000  6 Pd 2.43
Tl 0.5000 0.5000 0.5000  12 Pd 3.43
Pd 0.0000 0.0000 0.5000  2 Sc 2.43
Pd 0.0000 0.5000 0.0000  2 Sc 2.43
Pd 0.5000 0.0000 0.0000  2 Sc 2.43

* E_tot: -23.1 eV per formula unit
* total magnetic moment: 0.00 μB/f.u.

No. 11
## Ba2P (PBE)

Data for an optimized crystal structure of Ba2P.

Lattice parameters (Å, degrees): 20.1575 20.1575 4.7860 96.80 96.80 13.64
With the nearest neighbours (Å) after each atom.
Atoms (fractional coordinates):
Ba 0.0409 0.0409 0.2911  4 P 3.50, 2 Ba 3.86
Ba 0.1170 0.1170 0.8671  2 P 3.20, 4 Ba 3.44
Ba 0.2091 0.2091 0.4578  4 P 3.50, 2 Ba 3.86
Ba 0.3670 0.3670 0.6168  2 P 3.20, 4 Ba 3.44
Ba 0.6330 0.6330 0.3832  2 P 3.20, 4 Ba 3.44
Ba 0.7909 0.7909 0.5422  4 P 3.50, 2 Ba 3.86
Ba 0.8830 0.8830 0.1329  2 P 3.20, 4 Ba 3.44
Ba 0.9591 0.9591 0.7089  4 P 3.50, 2 Ba 3.86
P 0.3134 0.3134 0.0634  6 Ba 3.20-3.50
P 0.4366 0.4366 0.1866  6 Ba 3.20-3.50
P 0.5634 0.5634 0.8134  6 Ba 3.20-3.50
P 0.6866 0.6866 0.9366  6 Ba 3.20-3.50

* E_tot: -11.0 eV per formula unit
* total magnetic moment: 0.00 μB/f.u.

No. 12
## InPW2 (PBE)

Data for an optimized crystal structure of InPW2.

Lattice parameters (Å, degrees): 9.1057 3.1873 5.0542 90.00 108.91 90.00
With the nearest neighbours (Å) after each atom.
Atoms (fractional coordinates):
In 0.0000 0.0000 0.0000  7 W 2.80-3.04, 2 P 2.97
In 0.5000 0.5000 0.0000  7 W 2.80-3.04, 2 P 2.97
P 0.2503 0.5000 0.3975  5 W 2.43-2.65
P 0.7503 0.0000 0.3975  5 W 2.43-2.65
W 0.2330 0.0000 0.7487  2 P 2.43
W 0.4764 0.0000 0.4760  3 P 2.53-2.65, 2 W 2.79
W 0.7330 0.5000 0.7487  2 P 2.43
W 0.9764 0.5000 0.4760  3 P 2.53-2.65, 2 W 2.79

* E_tot: -32.2 eV per formula unit
* total magnetic moment: 0.00 μB/f.u.